# 1
Material: BiPb2Au2
Method: DFT, PBE
State: optimized geometry

Values from the calculation:
* energy relative to the elements: -0.03 eV per atom
* distance to the lowest polymorph of the same formula: 0.147 eV/f.u.
* calculated total energy: -3.6044 eV/atom
* crystal system: triclinic
* D(E_F): 0.53 states/eV per atom

Unit cell a=4.607 b=5.984 c=6.000 alpha=67.15 beta=66.71 gamma=66.76
Atoms (fractional coordinates):
1 Bi 0.500 0.500 0.000
2 Pb 0.300 0.206 0.705
3 Pb 0.700 0.794 0.295
4 Au 0.001 0.208 0.289
5 Au 0.999 0.792 0.711

# 2
Material: NaPdPb3
Method: DFT, PBE
State: optimized geometry

Values from the calculation:
* energy relative to the elements: 0.73 eV per atom
* distance to the lowest polymorph of the same formula: 4.520 eV/f.u.
* calculated total energy: -2.7941 eV/atom
* crystal system: cubic
* D(E_F): 0.59 states/eV per atom

Unit cell a=5.379 b=5.379 c=5.379 alpha=90.00 beta=90.00 gamma=90.00
Atoms (fractional coordinates):
1 Pb 0.000 0.500 0.000
2 Pb 0.000 0.000 0.500
3 Pb 0.500 0.000 0.000
4 Na 0.000 0.000 0.000
5 Pd 0.500 0.500 0.500

Question: What is the formula in the second record?
Answer: NaPdPb3

Question: What is the distance to the lowest polymorph of the same formula in the first record?
Answer: 0.147 eV/f.u.

Question: Which formula does entry 1 have?
Answer: BiPb2Au2